[1]
The following is a GGA-PBE calculation of a geometry-optimized GaH2O2 structure, from Alexandria via LeMat-Bulk.

Its crystal system is tetragonal. As for the density of states at the Fermi level: 2.3 states/eV/cell. For the polymorph energy (0 for the lowest one), the calculation gives 475 meV per atom. The calculation puts the total magnetization at 0.000 μB/f.u. The total energy is -4.3543 eV per atom.

The structure belongs to space group P4/mbm (No. 127); the cell edges are 6.004, 6.004 and 2.369 Å and the angles 90.00°, 90.00° and 90.00°. The asymmetric unit holds Ga at (0.000, 0.000, 0.000), H at (0.145, 0.355, 0.000) and O at (0.183, 0.317, 0.500).

***

[2]
The following is a GGA-PBE calculation of a geometry-optimized K2AcAg3O6 structure, from Alexandria via LeMat-Bulk.

Its crystal system is tetragonal. The value obtained for the energy relative to the elements, uncorrected is -1.051 eV/atom. As for the density of states at the Fermi level: 6.8 states/eV/cell. The calculation puts the total magnetization at 1.267 μB/f.u. The total energy is -4.7677 eV per atom.

The structure belongs to space group P4/mmm (No. 123); the cell edges are 4.171, 4.171 and 12.907 Å and the angles 90.00°, 90.00° and 90.00°. The asymmetric unit holds K at (0.000, 0.000, 0.193), Ac at (0.000, 0.000, 0.500), Ag at (0.500, 0.500, 0.000), Ag at (0.500, 0.500, 0.344), O at (0.000, 0.500, 0.378) and O at (0.500, 0.500, 0.152).

***

[3]
The following is a GGA-PBE calculation of a geometry-optimized CsReSeBr2 structure, from Alexandria via LeMat-Bulk.

Its crystal system is tetragonal. The value obtained for the energy relative to the elements, uncorrected is -0.322 eV/atom. As for the density of states at the Fermi level: 2.1 states/eV/cell. For the polymorph energy (0 for the lowest one), the calculation gives 0 meV per atom. The calculation puts the total magnetization at 0.706 μB/f.u. The total energy is -4.3485 eV per atom.

The structure belongs to space group P4/mmm (No. 123); the cell edges are 5.511, 5.511 and 4.768 Å and the angles 90.00°, 90.00° and 90.00°. The asymmetric unit holds Cs at (0.000, 0.000, 0.000), Re at (0.500, 0.500, 0.500), Se at (0.500, 0.500, 0.000) and Br at (0.000, 0.500, 0.500).

***

[4]
The following is a GGA-PBE calculation of a geometry-optimized Pm2BAsRh6 structure, from Alexandria via LeMat-Bulk.

Its crystal system is tetragonal. As for the density of states at the Fermi level: 1.8 states/eV/cell. The calculation puts the total magnetization at 0.000 μB/f.u. The total energy is -7.0382 eV per atom. For the formation energy from the elements, the calculation gives -544 meV per atom.

The structure belongs to space group P4/mmm (No. 123); the cell edges are 4.468, 4.468 and 8.760 Å and the angles 90.00°, 90.00° and 90.00°. The asymmetric unit holds Pm at (0.000, 0.000, 0.236), B at (0.500, 0.500, 0.000), As at (0.500, 0.500, 0.500), Rh at (0.000, 0.500, 0.000), Rh at (0.000, 0.500, 0.500) and Rh at (0.500, 0.500, 0.230).

***

[5]
The following is a GGA-PBE calculation of a geometry-optimized TbAl4Bi structure, from Alexandria via LeMat-Bulk.

Its crystal system is cubic. As for the density of states at the Fermi level: 19.6 states/eV/cell. The calculation puts the total magnetization at 0.000 μB/f.u. The total energy is -4.0812 eV per atom. For the formation energy from the elements, the calculation gives -168 meV per atom.

The structure belongs to space group F-43m (No. 216); the cell edges are 7.954, 7.954 and 7.954 Å and the angles 90.00°, 90.00° and 90.00°. The asymmetric unit holds Tb at (0.000, 0.000, 0.000), Al at (0.125, 0.125, 0.625) and Bi at (0.250, 0.250, 0.250).

***

[6]
The following is a GGA-PBE calculation of a geometry-optimized SrAl3Sn structure, from Alexandria via LeMat-Bulk.

Its crystal system is cubic. As for the density of states at the Fermi level: 3.8 states/eV/cell. For the polymorph energy (0 for the lowest one), the calculation gives 831 meV per atom. The calculation puts the total magnetization at 0.000 μB/f.u. The total energy is -2.1133 eV per atom. For the formation energy from the elements, the calculation gives 1269 meV per atom.

The structure belongs to space group Pm-3m (No. 221); the cell edges are 5.746, 5.746 and 5.746 Å and the angles 90.00°, 90.00° and 90.00°. The asymmetric unit holds Sr at (0.000, 0.000, 0.000), Al at (0.000, 0.000, 0.500) and Sn at (0.500, 0.500, 0.500).

***

[7]
The following is a GGA-PBE calculation of a geometry-optimized Nd2Co12Ge7 structure, from Alexandria via LeMat-Bulk.

Its crystal system is hexagonal. As for the density of states at the Fermi level: 17.4 states/eV/cell. The calculation puts the total magnetization at 3.647 μB/f.u. The total energy is -6.3598 eV per atom. For the formation energy from the elements, the calculation gives -306 meV per atom.

The structure belongs to space group P-6 (No. 174); the cell edges are 9.3941, 9.3941 and 3.8065 Å and the angles 90.00°, 90.00° and 120.00°. The asymmetric unit holds Nd at (0.0000, 0.0000, 0.0000), Nd at (0.3333, 0.6667, 0.5000), Co at (0.0418, 0.2815, 0.5000), Co at (0.1062, 0.7201, 0.0000), Co at (0.3881, 0.1857, 0.0000), Co at (0.5590, 0.4356, 0.5000), Ge at (0.0604, 0.4470, 0.0000), Ge at (0.2695, 0.2322, 0.5000) and Ge at (0.6667, 0.3333, 0.0000).

***

[8]
The following is a GGA-PBE calculation of a geometry-optimized ErTmCdGe structure, from Alexandria via LeMat-Bulk.

Its crystal system is cubic. As for the density of states at the Fermi level: 14.1 states/eV/cell. The calculation puts the total magnetization at 0.000 μB/f.u. The total energy is -4.0818 eV per atom. For the formation energy from the elements, the calculation gives -440 meV per atom.

The structure belongs to space group F-43m (No. 216); the cell edges are 7.200, 7.200 and 7.200 Å and the angles 90.00°, 90.00° and 90.00°. The asymmetric unit holds Er at (0.000, 0.000, 0.000), Tm at (0.000, 0.000, 0.500), Cd at (0.250, 0.250, 0.250) and Ge at (0.250, 0.250, 0.750).